Model a:
DFT (PBE) results for a geometry-optimized Cs2CaCdI6 structure.

Values from the calculation:
SG: No. 164

Geometry as POSCAR:
```
Cs2CaCdI6
1.0
8.5202 0.0000 0.0000
-4.2601 7.3787 0.0000
0.0000 0.0000 7.4461
Cs Ca Cd I
2 1 1 6
Cartesian
0.0000 4.9191 1.6862
4.2601 2.4596 5.7599
0.0000 0.0000 3.7230
0.0000 0.0000 0.0000
0.0000 2.4591 5.6567
-2.1305 6.1492 5.6567
2.1296 1.2295 1.7894
2.1305 6.1492 5.6567
6.3906 1.2295 1.7894
4.2601 4.9196 1.7894
```

Model b:
DFT (PBE) results for a geometry-optimized Cs2CaCdI6 structure.

Values from the calculation:
SG: No. 225

Geometry as POSCAR:
```
Cs2CaCdI6
1.0
0.0000 6.1279 6.1279
6.1279 0.0000 6.1279
6.1279 6.1279 0.0000
Cs Ca Cd I
2 1 1 6
Cartesian
3.0639 3.0639 3.0639
9.1918 9.1918 9.1918
0.0000 0.0000 0.0000
6.1279 6.1279 6.1279
6.1279 6.1279 3.1153
6.1279 3.1153 6.1279
9.1404 6.1279 6.1279
3.1153 6.1279 6.1279
6.1279 9.1404 6.1279
6.1279 6.1279 9.1404
```

Relative to the most stable one, in kJ/mol of atoms, the structures come out at model a 0.0; model b 3.5.

Model a:
DFT (PBE) results for a geometry-optimized CsK2CaCd structure.

Values from the calculation:
SG: No. 123

Geometry as POSCAR:
```
CsK2CaCd
1.0
7.5612 0.0000 0.0000
0.0000 7.5612 0.0000
0.0000 0.0000 6.2819
Cs K Ca Cd
1 2 1 1
Cartesian
0.0000 0.0000 0.0000
0.0000 3.7806 3.1410
3.7806 0.0000 3.1410
3.7806 3.7806 3.1410
3.7806 3.7806 0.0000
```

Model b:
DFT (PBE) results for a geometry-optimized CsK2CaCd structure.

Values from the calculation:
SG: No. 123

Geometry as POSCAR:
```
CsK2CaCd
1.0
6.9878 0.0000 0.0000
0.0000 6.9878 0.0000
0.0000 0.0000 6.3460
Cs K Ca Cd
1 2 1 1
Cartesian
0.0000 0.0000 0.0000
0.0000 3.4939 3.1730
3.4939 0.0000 3.1730
3.4939 3.4939 0.0000
3.4939 3.4939 3.1730
```

Relative to the most stable one, in kJ/mol of atoms, the structures come out at model a 17.0; model b 0.0.